# 1
## ScSiW2 (meta-GGA SCAN)

Data for a PBEsol-optimized structure of ScSiW2.

Properties
Uncorrected formation energy ... 292 meV/atom
Distance to the lowest polymorph of the same formula ... 0.864 eV per formula unit
Density of states at the Fermi level ... 0.63 states/eV/atom

CIF file:
```
data_ScSiW2
_chemical_formula_sum 'Sc1 Si1 W2'
_space_group_name_H-M_alt 'P 4/m m m'
_space_group_IT_number 123
_space_group_name_Hall '-P 4 2'
_cell_length_a 2.7583
_cell_length_b 2.7583
_cell_length_c 8.3621
_cell_angle_alpha 90.00
_cell_angle_beta 90.00
_cell_angle_gamma 90.00
loop_
_atom_site_label
_atom_site_type_symbol
_atom_site_fract_x
_atom_site_fract_y
_atom_site_fract_z
_atom_site_occupancy
Sc1 Sc 0.0000 0.0000 0.0000 1
Si1 Si 0.0000 0.0000 0.5000 1
W1 W 0.5000 0.5000 0.2794 1
```

---

# 2
## Sc2Si2W (meta-GGA SCAN)

Data for a PBEsol-optimized structure of Sc2Si2W.

Properties
Uncorrected formation energy ... -579 meV/atom
Density of states at the Fermi level ... 0.51 states/eV/atom

CIF file:
```
data_Sc2Si2W
_chemical_formula_sum 'Sc4 Si4 W2'
_space_group_name_H-M_alt 'P 4/m b m'
_space_group_IT_number 127
_space_group_name_Hall '-P 4 2ab'
_cell_length_a 6.6353
_cell_length_b 6.6353
_cell_length_c 3.7693
_cell_angle_alpha 90.00
_cell_angle_beta 90.00
_cell_angle_gamma 90.00
loop_
_atom_site_label
_atom_site_type_symbol
_atom_site_fract_x
_atom_site_fract_y
_atom_site_fract_z
_atom_site_occupancy
Sc1 Sc 0.1762 0.3238 0.0000 1
Si1 Si 0.1288 0.6288 0.5000 1
W1 W 0.0000 0.0000 0.5000 1
```